This record from the Alexandria database describes Cs2TiHg2Cl4 after structural relaxation. The functional is GGA-PBE.

Cell: 7.312 7.312 7.312 Å, 112.15 112.15 104.23°
Element x y z (fractional)
Cs  0.250  0.750  0.500
Cs  0.750  0.250  0.500
Ti  0.000  0.000  0.000
Hg  0.329  0.329  0.000
Hg  0.671  0.671  0.000
Cl  0.213  0.213  0.426
Cl  0.213  0.787  0.000
Cl  0.787  0.213  0.000
Cl  0.787  0.787  0.574

Results
The calculation puts the theoretical density at 4.76 g/cm3. The formation energy from raw total energies is -1.2924 eV/atom. The total energy is -3.25 eV per atom.